Density functional theory data (GGA+U) for crystalline PmTiMoO6 at its relaxed geometry.

a b c (Å): 4.8803 4.8803 9.7559
angles (deg): 90.00 90.00 90.00
Last column: nearest neighbours and their distance in Å.
Element x y z (fractional)
Pm 0.0000 0.0000 0.0000  6 O 2.26-2.40
Pm 0.5000 0.5000 0.5000  6 O 2.26-2.40
Ti 0.0000 0.0000 0.3427  6 O 1.94-2.15
Ti 0.5000 0.5000 0.8427  6 O 1.94-2.15
Mo 0.0000 0.0000 0.6678  6 O 1.93-2.10
Mo 0.5000 0.5000 0.1678  6 O 1.93-2.10
O 0.1731 0.1731 0.4997  1 Ti 1.94, 1 Mo 2.03
O 0.2206 0.2206 0.8158  1 Ti 1.95, 1 Mo 2.10
O 0.2227 0.2227 0.1893  1 Mo 1.93, 1 Ti 2.15
O 0.2773 0.7227 0.6893  1 Mo 1.93, 1 Ti 2.15
O 0.2794 0.7206 0.3158  1 Ti 1.95, 1 Mo 2.10
O 0.3269 0.6731 0.9997  1 Ti 1.94, 1 Mo 2.03
O 0.6731 0.3269 0.9997  1 Ti 1.94, 1 Mo 2.03
O 0.7206 0.2794 0.3158  1 Ti 1.95, 1 Mo 2.10
O 0.7227 0.2773 0.6893  1 Mo 1.93, 1 Ti 2.15
O 0.7773 0.7773 0.1893  1 Mo 1.93, 1 Ti 2.15
O 0.7794 0.7794 0.8158  1 Ti 1.95, 1 Mo 2.10
O 0.8269 0.8269 0.4997  1 Ti 1.94, 1 Mo 2.03

## Properties
The calculated density comes out at 5.500 g/cm³. The calculated total energy is -8.053 eV per atom.